Record 1
A relaxed structure of BaTl2PdPt, computed with PBE-GGA.

Cell lengths 4.9131, 4.9131, 10.8580 Å; angles 90.00, 90.00, 90.00 degrees
Element x y z (fractional)
Tl: 0.0000 0.5000 0.8819
Tl: 0.5000 0.0000 0.1181
Tl: 0.0000 0.0000 0.5000
Pt: 0.0000 0.5000 0.6286
Pd: 0.0000 0.0000 0.0000
Ba: 0.5000 0.0000 0.7608
Tl: 0.5000 0.5000 0.5000
Ba: 0.0000 0.5000 0.2392
Pd: 0.5000 0.5000 0.0000
Pt: 0.5000 0.0000 0.3714

Properties
**Energy**: -4.003 eV per atom

Record 2
A relaxed structure of BaPdS2, computed with PBE-GGA.

Cell lengths 7.2839, 5.5868, 5.5868 Å; angles 65.53, 90.00, 90.00 degrees
Element x y z (fractional)
Pd: 0.0000 0.9986 0.9986
S: 0.7500 0.0623 0.2475
S: 0.2500 0.9351 0.7500
Ba: 0.2500 0.5582 0.4390
Ba: 0.7500 0.4390 0.5582
Pd: 0.5000 0.9986 0.9986
S: 0.2500 0.2475 0.0623
S: 0.7500 0.7500 0.9351

Properties
**Energy**: -4.748 eV per atom

Record 3
A relaxed structure of BaPdS2, computed with PBE-GGA.

Cell lengths 8.3707, 6.2084, 6.2084 Å; angles 41.36, 90.00, 90.00 degrees
Element x y z (fractional)
S: 0.7500 0.7653 0.7563
Pd: 0.2500 0.1790 0.1881
Ba: 0.7500 0.4747 0.4692
Ba: 0.2500 0.4692 0.4747
S: 0.5000 0.0783 0.0783
Pd: 0.7500 0.1881 0.1790
S: 0.0000 0.0783 0.0783
S: 0.2500 0.7563 0.7653

Properties
**Energy**: -4.726 eV per atom

Record 4
A relaxed structure of BaPdS2, computed with PBE-GGA.

Cell lengths 6.0973, 12.2595, 6.5415 Å; angles 90.00, 106.11, 90.00 degrees
Element x y z (fractional)
Pd: 0.0331 0.6754 0.7692
S: 0.1529 0.2994 0.9789
Ba: 0.5248 0.1330 0.2530
S: 0.8471 0.7994 0.5211
S: 0.3568 0.8895 0.1916
Pd: 0.9669 0.1754 0.7308
S: 0.1529 0.2006 0.4789
Ba: 0.5248 0.3670 0.7530
Pd: 0.0331 0.8246 0.2692
S: 0.6432 0.1105 0.8084
S: 0.6432 0.3895 0.3084
Pd: 0.9669 0.3246 0.2308
Ba: 0.4752 0.6330 0.2470
S: 0.3568 0.6105 0.6916
Ba: 0.4752 0.8670 0.7470
S: 0.8471 0.7006 0.0211

Properties
**Energy**: -4.785 eV per atom

Record 5
A relaxed structure of BaPd2S, computed with PBE-GGA.

Cell lengths 6.3613, 5.7927, 5.7927 Å; angles 74.56, 90.00, 90.00 degrees
Element x y z (fractional)
Pd: 0.5000 0.8593 0.8593
Ba: 0.7500 0.7875 0.3516
Pd: 0.2500 0.8672 0.4478
S: 0.2500 0.6645 0.1521
Ba: 0.2500 0.3516 0.7875
Pd: 0.0000 0.8593 0.8593
Pd: 0.7500 0.4478 0.8672
S: 0.7500 0.1521 0.6645

Properties
**Energy**: -4.863 eV per atom

Record 6
A relaxed structure of BaPd2S, computed with PBE-GGA.

Cell lengths 7.6347, 5.4392, 5.4392 Å; angles 67.20, 90.00, 90.00 degrees
Element x y z (fractional)
Pd: 0.2500 0.2870 0.0160
S: 0.0000 0.0095 0.0095
Ba: 0.7500 0.3997 0.5933
Pd: 0.7500 0.0160 0.2870
S: 0.5000 0.0095 0.0095
Pd: 0.7500 0.7858 0.8883
Ba: 0.2500 0.5933 0.3997
Pd: 0.2500 0.8883 0.7858

Properties
**Energy**: -4.497 eV per atom

Record 7
A relaxed structure of Ba2PdS3, computed with PBE-GGA.

Cell lengths 8.5024, 8.5024, 8.5024 Å; angles 149.90, 147.33, 45.02 degrees
Element x y z (fractional)
Ba: 0.6446 0.6446 0.0000
S: 0.1541 0.1541 0.0000
Pd: 0.0000 0.0000 0.0000
S: 0.5000 0.0000 0.5000
Ba: 0.3554 0.3554 0.0000
S: 0.8459 0.8459 0.0000

Properties
**Energy**: -5.029 eV per atom

Record 8
A relaxed structure of Ba2SbPdS6, computed with PBE-GGA.

Cell lengths 7.0314, 7.0314, 7.0314 Å; angles 60.00, 60.00, 90.00 degrees
Element x y z (fractional)
S: 0.2574 0.2574 0.0000
S: 0.7426 0.7426 0.0000
Pd: 0.5000 0.5000 0.0000
Sb: 0.0000 0.0000 0.0000
S: 0.7426 0.2574 0.0000
Ba: 0.7500 0.2500 0.5000
S: 0.7426 0.7426 0.5149
S: 0.2574 0.7426 0.0000
S: 0.2574 0.2574 0.4851
Ba: 0.2500 0.7500 0.5000

Properties
**Energy**: -4.602 eV per atom

Record 9
A relaxed structure of BaScPdS3, computed with PBE-GGA.

Cell lengths 7.1828, 7.1828, 9.8555 Å; angles 90.00, 90.00, 148.52 degrees
Element x y z (fractional)
S: 0.3710 0.6290 0.9526
Pd: 0.4725 0.5275 0.7500
S: 0.0714 0.9286 0.7500
Pd: 0.5275 0.4725 0.2500
Ba: 0.7498 0.2502 0.7500
Ba: 0.2502 0.7498 0.2500
Sc: 0.0000 0.0000 0.5000
S: 0.6290 0.3710 0.0474
S: 0.9286 0.0714 0.2500
S: 0.3710 0.6290 0.5474
S: 0.6290 0.3710 0.4526
Sc: 0.0000 0.0000 0.0000

Properties
**Energy**: -5.800 eV per atom

Record 10
A relaxed structure of Ba2TaPdS6, computed with PBE-GGA.

Cell lengths 6.8006, 6.8006, 6.8006 Å; angles 61.83, 61.83, 61.83 degrees
Element x y z (fractional)
S: 0.7565 0.3005 0.1955
Pd: 0.4996 0.4996 0.4996
S: 0.2437 0.6989 0.8040
Ta: 0.9996 0.9996 0.9996
S: 0.6989 0.8040 0.2437
S: 0.1955 0.7565 0.3005
S: 0.3005 0.1955 0.7565
S: 0.8040 0.2437 0.6989
Ba: 0.7483 0.7483 0.7483
Ba: 0.2514 0.2514 0.2514

Properties
**Energy**: -5.699 eV per atom

Record 11
A relaxed structure of BaYPdS3, computed with PBE-GGA.

Cell lengths 7.2263, 7.2263, 10.2562 Å; angles 90.00, 90.00, 147.88 degrees
Element x y z (fractional)
S: 0.0725 0.9275 0.7500
Y: 0.0000 0.0000 0.5000
S: 0.6348 0.3652 0.4415
S: 0.3652 0.6348 0.9415
Pd: 0.4753 0.5247 0.7500
Pd: 0.5247 0.4753 0.2500
Y: 0.0000 0.0000 0.0000
S: 0.9275 0.0725 0.2500
S: 0.3652 0.6348 0.5585
Ba: 0.7476 0.2524 0.7500
Ba: 0.2524 0.7476 0.2500
S: 0.6348 0.3652 0.0585

Properties
**Energy**: -5.925 eV per atom

Record 12
A relaxed structure of BaScPd, computed with PBE-GGA.

Cell lengths 4.9577, 4.9577, 4.9577 Å; angles 60.00, 60.00, 60.00 degrees
Element x y z (fractional)
Sc: 0.7500 0.7500 0.7500
Ba: 0.0000 0.0000 0.0000
Pd: 0.2500 0.2500 0.2500

Properties
**Relative energy among the computed polymorphs**: 673 meV per atom
**Energy**: -3.865 eV per atom

energy of number 10 (Ba2TaPdS6)?
-5.699 eV per atom